[1]
Compound: AgH
Source: the Open Quantum Materials Database
Functional: GGA-PBE
Structure: optimized geometry

Cell: 3.1696 3.1696 3.1696 Å, 60.00 60.00 60.00°
Last column: nearest neighbours and their distance in Å.
Fractional coordinates of all 2 atoms:
Ag  0.0000  0.0000  0.0000  4 H 1.94
H  0.7500  0.7500  0.7500  4 Ag 1.94

Properties
As for the crystal system: cubic. Its volume is 11.26 Å³ per atom. As for the energy above the most stable polymorph in this dataset: 0 meV per atom.



[2]
Compound: KCoIr
Source: the Open Quantum Materials Database
Functional: GGA-PBE
Structure: optimized geometry

Cell: 4.4352 4.4352 4.4352 Å, 60.00 60.00 60.00°
Last column: nearest neighbours and their distance in Å.
Fractional coordinates of all 3 atoms:
K  0.0000  0.0000  0.0000  4 Co 2.72
Co  0.7500  0.7500  0.7500  4 K 2.72, 4 Ir 2.72
Ir  0.5000  0.5000  0.5000  4 Co 2.72

Properties
As for the crystal system: cubic. Its volume is 20.56 Å³ per atom. As for the energy above the most stable polymorph in this dataset: 0 meV per atom.



[3]
Compound: Tl2TcCl6
Source: the Open Quantum Materials Database
Functional: GGA-PBE
Structure: optimized geometry

Cell: 6.9978 6.9978 6.1233 Å, 90.54 90.54 60.05°
Last column: nearest neighbours and their distance in Å.
Fractional coordinates of all 9 atoms:
Tl  0.1678  0.1678  0.1845  9 Cl 3.24-3.51
Tl  0.8322  0.8322  0.8155  9 Cl 3.24-3.51
Tc  0.5000  0.5000  0.0000  6 Cl 2.37
Cl  0.1795  0.6613  0.2204  1 Tc 2.37
Cl  0.3384  0.3384  0.7778  1 Tc 2.37
Cl  0.3387  0.8205  0.7796  1 Tc 2.37
Cl  0.6613  0.1795  0.2204  1 Tc 2.37
Cl  0.6616  0.6616  0.2222  1 Tc 2.37
Cl  0.8205  0.3387  0.7796  1 Tc 2.37

Properties
As for the crystal system: monoclinic. Its volume is 28.87 Å³ per atom. The total energy is -3.7974 eV/atom.



Number 1: mass density 8.03 g/cm3. Number 2: mass density 7.81 g/cm3. Number 3: mass density 4.60 g/cm3.